Version 1
The following is a GGA-PBE calculation of a relaxed Co2SbCl crystal, from Alexandria.

Output
**Total magnetic moment**: 2.02 Bohr magnetons per cell
**Symmetry**: Immm
**N(E_F)**: 1.10 states/eV/atom

Cell and atoms, written as extended XYZ:
```
4
Lattice="-1.524 2.802 3.917 1.524 -2.802 3.917 1.524 2.802 -3.917" Properties=species:S:1:pos:R:3 pbc="T T T"
Co 0.000 0.000 1.921
Co 0.000 0.000 5.914
Sb 0.000 2.802 0.000
Cl 1.524 0.000 0.000
```


Version 2
The following is a GGA-PBE calculation of a relaxed Co2SbCl crystal, from Alexandria.

Output
**Total magnetic moment**: 3.90 Bohr magnetons per cell
**Symmetry**: Pm
**N(E_F)**: 0.95 states/eV/atom

Cell and atoms, written as extended XYZ:
```
4
Lattice="3.515 0.000 0.000 0.000 3.517 0.000 -0.037 0.000 7.284" Properties=species:S:1:pos:R:3 pbc="T T T"
Co 0.000 0.000 0.000
Co 1.721 1.758 7.283
Sb 0.001 1.758 1.930
Cl 1.719 0.000 5.660
```


Short version: version 2 is the most stable of them.


Version 1
The following is a GGA-PBE calculation of a relaxed CoSbCl crystal, from Alexandria.

Output
**Total magnetic moment**: 1.23 Bohr magnetons per cell
**Symmetry**: I4mm
**N(E_F)**: 1.28 states/eV/atom

Cell and atoms, written as extended XYZ:
```
3
Lattice="-1.552 1.552 6.509 1.552 -1.552 6.509 1.552 1.552 -6.509" Properties=species:S:1:pos:R:3 pbc="T T T"
Co 0.000 0.000 0.000
Sb 0.000 0.000 4.870
Cl 0.000 0.000 7.985
```


Version 2
The following is a GGA-PBE calculation of a relaxed CoSbCl crystal, from Alexandria.

Output
**Total magnetic moment**: 1.08 Bohr magnetons per cell
**Symmetry**: P3m1
**N(E_F)**: 1.39 states/eV/atom

Cell and atoms, written as extended XYZ:
```
3
Lattice="3.409 0.000 0.000 -1.704 2.952 0.000 0.000 0.000 7.048" Properties=species:S:1:pos:R:3 pbc="T T T"
Co 0.000 0.000 0.000
Sb 1.704 0.984 1.751
Cl 0.000 1.968 5.810
```


Version 3
The following is a GGA-PBE calculation of a relaxed CoSbCl crystal, from Alexandria.

Output
**Total magnetic moment**: 1.30 Bohr magnetons per cell
**Symmetry**: Fmm2
**N(E_F)**: 1.15 states/eV/atom

Cell and atoms, written as extended XYZ:
```
3
Lattice="0.000 2.638 6.731 1.858 0.000 6.731 1.858 2.638 0.000" Properties=species:S:1:pos:R:3 pbc="T T T"
Co 0.000 0.000 0.000
Sb 1.858 2.638 8.480
Cl 1.858 2.638 5.250
```


Version 4
The following is a GGA-PBE calculation of a relaxed CoSbCl crystal, from Alexandria.

Output
**Total magnetic moment**: 0.15 Bohr magnetons per cell
**Symmetry**: F-43m
**N(E_F)**: 0.69 states/eV/atom

Cell and atoms, written as extended XYZ:
```
3
Lattice="0.000 3.104 3.104 3.104 0.000 3.104 3.104 3.104 0.000" Properties=species:S:1:pos:R:3 pbc="T T T"
Co 0.000 0.000 0.000
Sb 4.656 4.656 4.656
Cl 1.552 1.552 1.552
```


Short version: version 2 is the most stable of them.


Version 1
The following is a GGA-PBE calculation of a relaxed Co3SbCl crystal, from Alexandria.

Output
**Total magnetic moment**: 1.17 Bohr magnetons per cell
**Symmetry**: Pm-3m
**N(E_F)**: 1.65 states/eV/atom

Cell and atoms, written as extended XYZ:
```
5
Lattice="4.220 0.000 0.000 0.000 4.220 0.000 0.000 0.000 4.220" Properties=species:S:1:pos:R:3 pbc="T T T"
Co 0.000 0.000 2.110
Co 0.000 2.110 0.000
Co 2.110 0.000 0.000
Sb 2.110 2.110 2.110
Cl 0.000 0.000 0.000
```


Version 2
The following is a GGA-PBE calculation of a relaxed Co3SbCl crystal, from Alexandria.

Output
**Total magnetic moment**: 6.99 Bohr magnetons per cell
**Symmetry**: Pm-3m
**N(E_F)**: 1.06 states/eV/atom

Cell and atoms, written as extended XYZ:
```
5
Lattice="4.909 0.000 0.000 0.000 4.909 0.000 0.000 0.000 4.909" Properties=species:S:1:pos:R:3 pbc="T T T"
Co 0.000 0.000 2.455
Co 0.000 2.455 0.000
Co 2.455 0.000 0.000
Sb 0.000 0.000 0.000
Cl 2.455 2.455 2.455
```


Short version: version 1 is the most stable of them.


Version 1
The following is a GGA-PBE calculation of a relaxed CoSb3Cl crystal, from Alexandria.

Output
**Total magnetic moment**: 0.00 Bohr magnetons per cell
**Symmetry**: Pm-3m
**N(E_F)**: 0.84 states/eV/atom

Cell and atoms, written as extended XYZ:
```
5
Lattice="5.182 0.000 0.000 0.000 5.182 0.000 0.000 0.000 5.182" Properties=species:S:1:pos:R:3 pbc="T T T"
Co 0.000 0.000 0.000
Sb 0.000 2.591 2.591
Sb 2.591 0.000 2.591
Sb 2.591 2.591 0.000
Cl 2.591 2.591 2.591
```


Version 2
The following is a GGA-PBE calculation of a relaxed CoSb3Cl crystal, from Alexandria.

Output
**Total magnetic moment**: 1.11 Bohr magnetons per cell
**Symmetry**: Pm-3m
**N(E_F)**: 1.04 states/eV/atom

Cell and atoms, written as extended XYZ:
```
5
Lattice="4.991 0.000 0.000 0.000 4.991 0.000 0.000 0.000 4.991" Properties=species:S:1:pos:R:3 pbc="T T T"
Co 0.000 0.000 0.000
Sb 0.000 0.000 2.495
Sb 0.000 2.495 0.000
Sb 2.495 0.000 0.000
Cl 2.495 2.495 2.495
```


Short version: version 2 is the most stable of them.


Version 1
The following is a GGA-PBE calculation of a relaxed CoSb2TeCl crystal, from Alexandria.

Output
**Total magnetic moment**: 1.44 Bohr magnetons per cell
**Symmetry**: P4/mmm
**N(E_F)**: 1.24 states/eV/atom

Cell and atoms, written as extended XYZ:
```
5
Lattice="5.025 0.000 0.000 0.000 5.025 0.000 0.000 0.000 5.019" Properties=species:S:1:pos:R:3 pbc="T T T"
Co 0.000 0.000 0.000
Sb 0.000 2.512 0.000
Sb 2.512 0.000 0.000
Te 0.000 0.000 2.510
Cl 2.512 2.512 2.510
```


Version 2
The following is a GGA-PBE calculation of a relaxed CoSb2TeCl crystal, from Alexandria.

Output
**Total magnetic moment**: 2.31 Bohr magnetons per cell
**Symmetry**: P4/mmm
**N(E_F)**: 1.29 states/eV/atom

Cell and atoms, written as extended XYZ:
```
5
Lattice="5.207 0.000 0.000 0.000 5.207 0.000 0.000 0.000 5.510" Properties=species:S:1:pos:R:3 pbc="T T T"
Co 0.000 0.000 0.000
Sb 0.000 2.604 2.755
Sb 2.604 0.000 2.755
Te 2.604 2.604 0.000
Cl 2.604 2.604 2.755
```


Short version: version 1 is the most stable of them.


Version 1
The following is a GGA-PBE calculation of a relaxed CoSbTe2Cl crystal, from Alexandria.

Output
**Total magnetic moment**: 1.86 Bohr magnetons per cell
**Symmetry**: P4/mmm
**N(E_F)**: 1.05 states/eV/atom

Cell and atoms, written as extended XYZ:
```
5
Lattice="5.726 0.000 0.000 0.000 5.726 0.000 0.000 0.000 4.151" Properties=species:S:1:pos:R:3 pbc="T T T"
Co 0.000 0.000 0.000
Sb 2.863 2.863 0.000
Te 0.000 2.863 2.075
Te 2.863 0.000 2.075
Cl 0.000 0.000 2.075
```


Version 2
The following is a GGA-PBE calculation of a relaxed CoSbTe2Cl crystal, from Alexandria.

Output
**Total magnetic moment**: 2.81 Bohr magnetons per cell
**Symmetry**: P4/mmm
**N(E_F)**: 1.39 states/eV/atom

Cell and atoms, written as extended XYZ:
```
5
Lattice="5.501 0.000 0.000 0.000 5.501 0.000 0.000 0.000 5.091" Properties=species:S:1:pos:R:3 pbc="T T T"
Co 0.000 0.000 0.000
Sb 2.750 2.750 0.000
Te 0.000 2.750 2.545
Te 2.750 0.000 2.545
Cl 2.750 2.750 2.545
```


Short version: version 1 is the most stable of them.


Version 1
The following is a GGA-PBE calculation of a relaxed ScCoCl2 crystal, from Alexandria.

Output
**Total magnetic moment**: 0.00 Bohr magnetons per cell
**Symmetry**: I-42d
**N(E_F)**: 0.00 states/eV/atom

Cell and atoms, written as extended XYZ:
```
8
Lattice="-2.221 2.221 7.309 2.221 -2.221 7.309 2.221 2.221 -7.309" Properties=species:S:1:pos:R:3 pbc="T T T"
Sc 0.000 0.000 0.000
Sc 0.000 2.221 3.655
Co 2.221 0.000 3.655
Co 0.000 0.000 7.309
Cl 1.111 -0.984 5.482
Cl 1.237 1.111 1.827
Cl 1.111 3.205 -1.827
Cl 0.984 1.111 9.136
```


Version 2
The following is a GGA-PBE calculation of a relaxed ScCoCl2 crystal, from Alexandria.

Output
**Total magnetic moment**: 2.31 Bohr magnetons per cell
**Symmetry**: R-3m
**N(E_F)**: 1.64 states/eV/atom

Cell and atoms, written as extended XYZ:
```
4
Lattice="1.649 0.952 9.975 -1.649 0.952 9.975 0.000 -1.904 9.975" Properties=species:S:1:pos:R:3 pbc="T T T"
Sc 0.000 0.000 0.000
Co 0.000 0.000 14.962
Cl 0.000 0.000 8.305
Cl 0.000 0.000 21.619
```


Version 3
The following is a GGA-PBE calculation of a relaxed ScCoCl2 crystal, from Alexandria.

Output
**Total magnetic moment**: 1.64 Bohr magnetons per cell
**Symmetry**: P4mm
**N(E_F)**: 0.86 states/eV/atom

Cell and atoms, written as extended XYZ:
```
4
Lattice="3.202 0.000 0.000 0.000 3.202 0.000 0.000 0.000 7.908" Properties=species:S:1:pos:R:3 pbc="T T T"
Sc 0.000 0.000 0.000
Co 1.601 1.601 6.173
Cl 0.000 0.000 5.171
Cl 1.601 1.601 1.612
```


Short version: version 3 is the most stable of them.


Version 1
The following is a GGA-PBE calculation of a relaxed ScCo2Cl crystal, from Alexandria.

Output
**Total magnetic moment**: 1.33 Bohr magnetons per cell
**Symmetry**: Fm-3m
**N(E_F)**: 1.60 states/eV/atom

Cell and atoms, written as extended XYZ:
```
4
Lattice="0.000 3.076 3.076 3.076 0.000 3.076 3.076 3.076 0.000" Properties=species:S:1:pos:R:3 pbc="T T T"
Sc 0.000 0.000 0.000
Co 1.538 1.538 1.538
Co 4.614 4.614 4.614
Cl 3.076 3.076 3.076
```


Version 2
The following is a GGA-PBE calculation of a relaxed ScCo2Cl crystal, from Alexandria.

Output
**Total magnetic moment**: 2.56 Bohr magnetons per cell
**Symmetry**: P3m1
**N(E_F)**: 0.45 states/eV/atom

Cell and atoms, written as extended XYZ:
```
4
Lattice="3.661 0.000 0.000 -1.831 3.171 0.000 0.000 0.000 6.238" Properties=species:S:1:pos:R:3 pbc="T T T"
Sc 0.000 0.000 0.000
Co 0.000 2.114 1.502
Co 1.831 1.057 2.136
Cl 1.831 1.057 4.520
```


Version 3
The following is a GGA-PBE calculation of a relaxed ScCo2Cl crystal, from Alexandria.

Output
**Total magnetic moment**: 2.69 Bohr magnetons per cell
**Symmetry**: Cmmm
**N(E_F)**: 1.73 states/eV/atom

Cell and atoms, written as extended XYZ:
```
4
Lattice="1.640 -2.478 0.000 1.640 2.478 0.000 0.000 0.000 7.805" Properties=species:S:1:pos:R:3 pbc="T T T"
Sc 0.000 0.000 0.000
Co 1.640 0.000 2.027
Co 1.640 0.000 5.777
Cl 0.000 0.000 3.902
```


Short version: version 2 is the most stable of them.


Version 1
The following is a GGA-PBE calculation of a relaxed ScCo2Cl crystal, from Alexandria.

Output
**Total magnetic moment**: 2.22 Bohr magnetons per cell
**Symmetry**: R3m
**N(E_F)**: 0.66 states/eV/atom

Cell and atoms, written as extended XYZ:
```
4
Lattice="1.830 1.056 6.883 -1.830 1.056 6.883 0.000 -2.113 6.883" Properties=species:S:1:pos:R:3 pbc="T T T"
Sc 0.000 0.000 0.000
Co 0.000 0.000 8.948
Co 0.000 0.000 15.343
Cl 0.000 0.000 5.249
```


Version 2
The following is a GGA-PBE calculation of a relaxed ScCo2Cl crystal, from Alexandria.

Output
**Total magnetic moment**: 0.00 Bohr magnetons per cell
**Symmetry**: I-42d
**N(E_F)**: 0.57 states/eV/atom

Cell and atoms, written as extended XYZ:
```
8
Lattice="-2.181 2.181 6.991 2.181 -2.181 6.991 2.181 2.181 -6.991" Properties=species:S:1:pos:R:3 pbc="T T T"
Sc 0.000 0.000 0.000
Sc 0.000 2.181 3.496
Co 1.090 -0.389 5.244
Co 1.792 1.090 1.748
Co 1.090 2.569 -1.748
Co 0.389 1.090 8.739
Cl 2.181 0.000 3.496
Cl 0.000 0.000 6.991
```


Short version: version 1 is the most stable of them.


Version 1
The following is a GGA-PBE calculation of a relaxed ScCo2Cl crystal, from Alexandria.

Output
**Total magnetic moment**: 2.35 Bohr magnetons per cell
**Symmetry**: F-43m
**N(E_F)**: 2.16 states/eV/atom

Cell and atoms, written as extended XYZ:
```
4
Lattice="0.000 3.107 3.107 3.107 0.000 3.107 3.107 3.107 0.000" Properties=species:S:1:pos:R:3 pbc="T T T"
Sc 0.000 0.000 0.000
Co 3.107 3.107 3.107
Co 4.660 4.660 4.660
Cl 1.553 1.553 1.553
```


Version 2
The following is a GGA-PBE calculation of a relaxed ScCo2Cl crystal, from Alexandria.

Output
**Total magnetic moment**: 3.30 Bohr magnetons per cell
**Symmetry**: Cmmm
**N(E_F)**: 1.21 states/eV/atom

Cell and atoms, written as extended XYZ:
```
4
Lattice="2.423 -4.278 0.000 2.423 4.278 0.000 0.000 0.000 3.124" Properties=species:S:1:pos:R:3 pbc="T T T"
Sc 0.000 0.000 0.000
Co 1.212 2.139 1.562
Co 1.212 -2.139 1.562
Cl 2.423 0.000 0.000
```


Version 3
The following is a GGA-PBE calculation of a relaxed ScCo2Cl crystal, from Alexandria.

Output
**Total magnetic moment**: 2.51 Bohr magnetons per cell
**Symmetry**: R-3m
**N(E_F)**: 1.73 states/eV/atom

Cell and atoms, written as extended XYZ:
```
4
Lattice="1.524 0.880 7.780 -1.524 0.880 7.780 0.000 -1.760 7.780" Properties=species:S:1:pos:R:3 pbc="T T T"
Sc 0.000 0.000 0.000
Co 0.000 0.000 5.726
Co 0.000 0.000 17.612
Cl 0.000 0.000 11.669
```


Version 4
The following is a GGA-PBE calculation of a relaxed ScCo2Cl crystal, from Alexandria.

Output
**Total magnetic moment**: 2.73 Bohr magnetons per cell
**Symmetry**: Pmmm
**N(E_F)**: 1.00 states/eV/atom

Cell and atoms, written as extended XYZ:
```
4
Lattice="3.202 0.000 0.000 0.000 3.759 0.000 0.000 0.000 5.119" Properties=species:S:1:pos:R:3 pbc="T T T"
Sc 0.000 0.000 0.000
Co 0.000 1.880 2.560
Co 1.601 0.000 2.560
Cl 1.601 1.880 0.000
```


Short version: version 4 is the most stable of them.


Version 1
The following is a GGA-PBE calculation of a relaxed ScCo2Cl crystal, from Alexandria.

Output
**Total magnetic moment**: 2.50 Bohr magnetons per cell
**Symmetry**: P4mm
**N(E_F)**: 0.94 states/eV/atom

Cell and atoms, written as extended XYZ:
```
4
Lattice="3.147 0.000 0.000 0.000 3.147 0.000 0.000 0.000 7.589" Properties=species:S:1:pos:R:3 pbc="T T T"
Sc 0.000 0.000 0.000
Co 0.000 0.000 5.078
Co 1.573 1.573 5.823
Cl 1.573 1.573 1.547
```


Version 2
The following is a GGA-PBE calculation of a relaxed ScCo2Cl crystal, from Alexandria.

Output
**Total magnetic moment**: 2.62 Bohr magnetons per cell
**Symmetry**: P2/m
**N(E_F)**: 0.91 states/eV/atom

Cell and atoms, written as extended XYZ:
```
4
Lattice="3.029 0.000 0.000 0.000 4.778 0.000 -0.071 0.000 4.153" Properties=species:S:1:pos:R:3 pbc="T T T"
Sc 0.000 0.000 0.000
Co 0.936 2.389 0.984
Co 2.022 2.389 3.169
Cl 1.479 0.000 2.076
```


Version 3
The following is a GGA-PBE calculation of a relaxed ScCo2Cl crystal, from Alexandria.

Output
**Total magnetic moment**: 2.06 Bohr magnetons per cell
**Symmetry**: P4/mmm
**N(E_F)**: 0.72 states/eV/atom

Cell and atoms, written as extended XYZ:
```
4
Lattice="3.491 0.000 0.000 0.000 3.491 0.000 0.000 0.000 5.355" Properties=species:S:1:pos:R:3 pbc="T T T"
Sc 0.000 0.000 0.000
Co 1.745 1.745 1.091
Co 1.745 1.745 4.264
Cl 0.000 0.000 2.677
```


Short version: version 1 is the most stable of them.